# 1
The following is a DFT calculation (PBE) of an optimized crystal structure of Ca2VZnRe.

```
5
Lattice="-4.622 1.501 2.951 -0.383 -4.188 1.531 3.275 1.329 4.453" Properties=species:S:1:pos:R:3 pbc="T T T"
V -0.191 -2.094 0.766
Re 0.000 0.000 0.000
Zn -0.865 -0.679 4.468
Ca -2.311 0.751 1.475
Ca 1.637 0.664 2.227
```

Properties
M_tot: 0.1119 μB per atom
Space-group type: No. 123
Uncorrected energy: -22.71 eV per cell



# 2
The following is a DFT calculation (PBE) of an optimized crystal structure of KBaSrCa.

```
4
Lattice="-2.506 3.074 -5.578 -6.404 -1.298 -2.037 -4.830 4.809 0.622" Properties=species:S:1:pos:R:3 pbc="T T T"
Ca 0.000 0.000 0.000
Sr -3.435 1.647 -1.748
Ba -10.305 4.940 -5.245
K -6.870 3.293 -3.497
```

Properties
M_tot: 0.0000 μB per atom
Space-group type: No. 216
Uncorrected energy: -6.25 eV per cell